## AcScBiAu (PBE)

Data for a relaxed structure of AcScBiAu.

Output
Energy of formation: -0.53 eV/atom
Density of states at the Fermi level: 4.69 states/eV per cell
VASP energy: -4.931 eV/atom
Magnetic moment: 1.310 μB per formula unit

Cell and atoms, written as POSCAR:
```
AcScBiAu
1.0
5.4443 0.0000 0.0000
2.7222 4.7149 0.0000
2.7222 1.5716 4.4453
Sc Bi Ac Au
1 1 1 1
Cartesian
8.1665 4.7149 3.3339 Sc
5.4443 3.1433 2.2226 Bi
2.7222 1.5716 1.1113 Ac
0.0000 0.0000 0.0000 Au
```